DFT (PBE) results for a relaxed structure of BeTcNO2.

Cell: 3.310 3.310 3.739 Å, 90.00 90.00 90.00°
Element x y z (fractional)
O (0.000, 0.500, 0.000)
O (0.500, 0.000, 0.000)
Tc (0.500, 0.500, 0.500)
N (0.000, 0.000, 0.500)
Be (0.000, 0.000, 0.000)

Theoretical density, g cm⁻³: 6.203
Calculated volume, Å³ per atom: 8.2
Formation energy from raw total energies, eV/atom: -0.10
VASP energy, Ha/atom: -0.241

=====

DFT (PBE) results for a relaxed structure of Re2HgOs.

Cell: 4.900 4.900 4.932 Å, 79.84 79.84 33.68°
Element x y z (fractional)
Os (0.265, 0.265, 0.219)
Re (0.736, 0.736, 0.784)
Re (0.998, 0.998, 0.998)
Hg (0.501, 0.501, 0.498)

Theoretical density, g cm⁻³: 19.634
Formation energy from the elements, kJ/mol of formula units: 237
Calculated volume, Å³ per atom: 16.1
VASP energy, Ha/atom: -0.312

=====

DFT (PBE) results for a relaxed structure of KNa5TeO6.

Cell: 6.742 6.742 11.271 Å, 89.17 89.17 122.19°
Element x y z (fractional)
O (0.870, 0.145, 0.398)
O (0.144, 0.288, 0.601)
O (0.845, 0.718, 0.106)
O (0.712, 0.856, 0.899)
O (0.155, 0.282, 0.894)
O (0.288, 0.144, 0.101)
O (0.718, 0.845, 0.606)
O (0.856, 0.712, 0.399)
O (0.282, 0.155, 0.394)
O (0.145, 0.870, 0.898)
O (0.855, 0.130, 0.102)
O (0.130, 0.855, 0.602)
K (0.326, 0.674, 0.750)
K (0.674, 0.326, 0.250)
Na (0.716, 0.857, 0.258)
Na (0.500, 0.500, 0.000)
Na (0.143, 0.284, 0.242)
Na (0.500, 0.000, 0.000)
Na (0.857, 0.716, 0.758)
Na (0.137, 0.863, 0.250)
Na (0.000, 0.500, 0.500)
Na (0.284, 0.143, 0.742)
Na (0.500, 0.500, 0.500)
Na (0.863, 0.137, 0.750)
Te (0.000, 0.000, 0.000)
Te (0.000, 0.000, 0.500)

Theoretical density, g cm⁻³: 2.894
Calculated volume, Å³ per atom: 16.7
Formation energy from raw total energies, eV/atom: -1.36
VASP energy, Ha/atom: -0.165

=====

DFT (PBE) results for a relaxed structure of CaY2H8.

Cell: 3.685 5.176 6.371 Å, 113.97 106.81 90.00°
Element x y z (fractional)
H (0.657, 0.430, 0.313)
H (0.177, 0.177, 0.355)
H (0.343, 0.570, 0.687)
H (0.000, 0.719, 0.000)
H (0.343, 0.117, 0.687)
H (0.000, 0.281, 0.000)
H (0.823, 0.823, 0.645)
H (0.657, 0.883, 0.313)
Y (0.177, 0.677, 0.354)
Y (0.823, 0.323, 0.646)
Ca (0.500, 0.000, 0.000)

Theoretical density, g cm⁻³: 3.562
Calculated volume, Å³ per atom: 9.6
VASP energy, Ha/atom: -0.161

=====

DFT (PBE) results for a relaxed structure of NdGaCu2Ni4.

Cell: 4.052 4.052 8.441 Å, 76.11 76.11 60.00°
Element x y z (fractional)
Ni (0.130, 0.130, 0.611)
Ni (0.870, 0.870, 0.389)
Ni (0.405, 0.405, 0.785)
Ni (0.595, 0.595, 0.215)
Cu (0.760, 0.760, 0.720)
Cu (0.240, 0.240, 0.280)
Ga (0.500, 0.500, 0.500)
Nd (0.000, 0.000, 0.000)

Theoretical density, g cm⁻³: 8.290
Formation energy from the elements, kJ/mol of formula units: -133
Calculated volume, Å³ per atom: 14.4
VASP energy, Ha/atom: -0.186

=====

DFT (PBE) results for a relaxed structure of Zn2FeCu.

Cell: 2.645 2.645 8.678 Å, 81.23 81.23 60.00°
Element x y z (fractional)
Cu (0.667, 0.667, 0.000)
Zn (0.084, 0.084, 0.749)
Zn (0.250, 0.250, 0.251)
Fe (0.500, 0.500, 0.500)

Theoretical density, g cm⁻³: 8.028
Formation energy from the elements, kJ/mol of formula units: 3
Calculated volume, Å³ per atom: 12.9
VASP energy, Ha/atom: -0.139

=====

DFT (PBE) results for a relaxed structure of PmTmSc2S6.

Cell: 6.737 6.736 7.105 Å, 61.70 61.71 60.00°
Element x y z (fractional)
S (0.896, 0.625, 0.242)
S (0.237, 0.896, 0.242)
S (0.146, 0.376, 0.743)
S (0.625, 0.237, 0.242)
S (0.736, 0.146, 0.743)
S (0.375, 0.736, 0.743)
Sc (0.514, 0.514, 0.457)
Sc (0.011, 0.011, 0.968)
Pm (0.807, 0.806, 0.580)
Tm (0.315, 0.315, 0.056)

Theoretical density, g cm⁻³: 4.237
Calculated volume, Å³ per atom: 23.4
Formation energy from raw total energies, eV/atom: -1.95
VASP energy, Ha/atom: -0.243

=====

DFT (PBE) results for a relaxed structure of Tb2Pd7Au3.

Cell: 4.561 5.182 13.184 Å, 127.77 110.25 66.89°
Element x y z (fractional)
Pd (0.823, 0.251, 0.471)
Pd (0.000, 0.000, 0.000)
Pd (0.927, 0.640, 0.234)
Pd (0.536, 0.206, 0.132)
Pd (0.464, 0.794, 0.868)
Pd (0.177, 0.749, 0.529)
Pd (0.073, 0.360, 0.766)
Au (0.436, 0.314, 0.612)
Au (0.500, 0.500, 0.000)
Au (0.564, 0.686, 0.388)
Tb (0.779, 0.919, 0.736)
Tb (0.221, 0.081, 0.264)

Theoretical density, g cm⁻³: 12.250
Formation energy from the elements, kJ/mol of formula units: -574
Calculated volume, Å³ per atom: 18.7
VASP energy, Ha/atom: -0.188

=====

DFT (PBE) results for a relaxed structure of Ti2BeGaH.

Cell: 3.950 3.950 3.742 Å, 90.00 90.00 90.00°
Element x y z (fractional)
Ti (0.500, 0.000, 0.000)
Ti (0.000, 0.500, 0.000)
Be (0.000, 0.000, 0.500)
H (0.000, 0.000, 0.000)
Ga (0.500, 0.500, 0.500)

Theoretical density, g cm⁻³: 4.990
Calculated volume, Å³ per atom: 11.7
VASP energy, Ha/atom: -0.201

=====

DFT (PBE) results for a relaxed structure of ScSiOsRh.

Cell: 4.344 4.344 4.344 Å, 60.00 60.00 60.00°
Element x y z (fractional)
Rh (0.500, 0.500, 0.500)
Sc (0.250, 0.250, 0.250)
Os (0.000, 0.000, 0.000)
Si (0.750, 0.750, 0.750)

Theoretical density, g cm⁻³: 10.493
Calculated volume, Å³ per atom: 14.5
Formation energy from raw total energies, eV/atom: -0.69
VASP energy, Ha/atom: -0.304

=====

DFT (PBE) results for a relaxed structure of LiNiIr2.

Cell: 4.600 4.600 4.589 Å, 80.10 80.10 33.78°
Element x y z (fractional)
Li (0.750, 0.750, 0.750)
Ir (0.986, 0.986, 0.006)
Ir (0.514, 0.514, 0.494)
Ni (0.250, 0.250, 0.250)

Theoretical density, g cm⁻³: 14.075
Formation energy from the elements, kJ/mol of formula units: -29
Calculated volume, Å³ per atom: 13.3
VASP energy, Ha/atom: -0.236

=====

DFT (PBE) results for a relaxed structure of PuTlInHg.

Cell: 5.285 5.285 5.285 Å, 60.00 60.00 60.00°
Element x y z (fractional)
In (0.250, 0.250, 0.250)
Hg (0.500, 0.500, 0.500)
Pu (0.750, 0.750, 0.750)
Tl (0.000, 0.000, 0.000)

Theoretical density, g cm⁻³: 12.151
Formation energy from the elements, kJ/mol of formula units: -28
Calculated volume, Å³ per atom: 26.1
VASP energy, Ha/atom: -0.184

=====

What is the formula in the fifth record?
NdGaCu2Ni4

=====

Among the records above, which one has the highest calculated volume?
PuTlInHg

=====

Repeat the fourth record exactly.
DFT (PBE) results for a relaxed structure of CaY2H8.

Cell: 3.685 5.176 6.371 Å, 113.97 106.81 90.00°
Element x y z (fractional)
H (0.657, 0.430, 0.313)
H (0.177, 0.177, 0.355)
H (0.343, 0.570, 0.687)
H (0.000, 0.719, 0.000)
H (0.343, 0.117, 0.687)
H (0.000, 0.281, 0.000)
H (0.823, 0.823, 0.645)
H (0.657, 0.883, 0.313)
Y (0.177, 0.677, 0.354)
Y (0.823, 0.323, 0.646)
Ca (0.500, 0.000, 0.000)

Theoretical density, g cm⁻³: 3.562
Calculated volume, Å³ per atom: 9.6
VASP energy, Ha/atom: -0.161

=====

The highest calculated volume belongs to which entry?
PuTlInHg